Zn2TeBr at its PBEsol-relaxed geometry. Source: Alexandria, functional SCAN.

```
Zn2TeBr
1.0
3.1933 0.0000 0.0000
0.0000 4.9981 0.0000
0.0000 0.0000 5.6038
Zn Te Br
2 1 1
Cartesian
0.0000 0.0000 0.0000
1.5966 2.4991 0.0000
0.0000 2.4991 2.8019
1.5966 0.0000 2.8019
```

V   22.36 Å³ per atom
ρ   6.3 g/cm³
Energy relative to the elements, uncorrected   0.379 eV/atom
E above lowest polymorph   0.521 eV per atom
SG   Pmmm (47)